Record 1
PBE-GGA Li4Ca5Ag, optimized geometry; magnetization = 0.0 Bohr magnetons per cell; calculated formation energy = -53 meV/atom
1.0
3.9165 0.0000 0.0000
0.0000 3.9165 0.0000
0.0000 0.0000 19.3863
Li Ca Ag
4 5 1
Cartesian
0.0000 0.0000 1.9761
0.0000 0.0000 5.9430
0.0000 0.0000 13.4432
0.0000 0.0000 17.4102
1.9582 1.9582 0.0000
1.9582 1.9582 3.9572
1.9582 1.9582 7.9445
1.9582 1.9582 11.4417
1.9582 1.9582 15.4290
0.0000 0.0000 9.6931


Record 2
PBE-GGA Li2CaAg, optimized geometry; magnetization = 0.0 Bohr magnetons per cell; calculated formation energy = -111 meV/atom; energy above the most stable polymorph in this dataset = 62 meV per atom
1.0
4.9789 0.0000 0.0000
0.0000 5.0388 0.0000
0.0000 0.0000 7.2484
Li Ca Ag
4 2 2
Cartesian
0.0000 0.0000 0.0000
0.0000 2.5194 1.8259
2.4895 0.0000 5.4501
2.4895 2.5194 3.6242
0.0000 0.0000 3.6107
2.4895 2.5194 7.2348
0.0000 2.5194 5.4017
2.4895 0.0000 1.7775


The calculation returns the following Fermi-level density of states values, one per record and in order: 6.9, 3.2 states/eV per cell.